Entry 1:
Compound: Pm2Dy3Si4
Source: Alexandria via LeMat-Bulk
Functional: PBE
Structure: relaxed

- formation energy from raw total energies (eV/atom) = -0.76
- M_tot (μB per cell) = 0.00

The structure in POSCAR format:
```
Pm2Dy3Si4
1.0
7.491 0.127 0.000
-2.337 7.358 0.000
0.000 0.000 7.773
Pm Dy Si
4 6 8
Cartesian
3.922 1.541 2.494
4.978 6.008 6.380
1.233 5.944 5.279
0.176 1.477 1.393
-1.168 3.679 3.886
2.577 3.743 0.000
5.073 1.892 6.366
3.827 5.657 2.480
0.081 5.593 1.407
1.327 1.828 5.293
6.395 0.696 4.121
2.504 6.853 0.235
-1.241 6.789 3.652
2.650 0.632 7.538
5.419 3.736 0.921
3.480 3.812 4.808
-0.265 3.749 6.851
1.674 3.673 2.965
```


Entry 2:
Compound: PmDy2Si4
Source: Alexandria via LeMat-Bulk
Functional: PBE
Structure: relaxed

- formation energy from raw total energies (eV/atom) = -0.77
- M_tot (μB per cell) = 0.00

The structure in POSCAR format:
```
PmDy2Si4
1.0
3.793 0.000 -0.865
-0.222 4.165 -0.973
0.112 -0.037 9.243
Pm Dy Si
1 2 4
Cartesian
1.897 0.000 -0.432
2.989 3.380 4.359
0.695 0.749 3.046
2.354 2.695 1.574
1.329 1.433 5.831
0.144 2.357 0.630
3.540 1.771 6.775
```


Entry 3:
Compound: PmDySi4
Source: Alexandria via LeMat-Bulk
Functional: PBE
Structure: relaxed

- polymorph energy (0 for the lowest one) (eV/atom) = 0.265
- formation energy from raw total energies (eV/atom) = -0.30
- M_tot (μB per cell) = 0.00

The structure in POSCAR format:
```
PmDySi4
1.0
-0.414 1.865 -5.020
-4.106 -1.535 -3.105
-3.875 3.502 -1.253
Si Pm Dy
4 1 1
Cartesian
-3.317 0.656 -5.230
-3.203 3.152 -4.312
-5.238 2.391 -5.851
-5.032 1.467 -3.363
0.000 0.000 0.000
-2.099 0.958 -2.345
```


Entry 4:
Compound: Pm12DySi7
Source: Alexandria via LeMat-Bulk
Functional: PBE
Structure: relaxed

- formation energy from raw total energies (eV/atom) = -0.37
- M_tot (μB per cell) = 0.00

The structure in POSCAR format:
```
Pm12DySi7
1.0
-1.078 -7.445 -5.142
5.210 6.127 -4.283
3.601 -2.180 8.082
Pm Dy Si
12 1 7
Cartesian
4.031 0.041 4.776
4.204 -5.997 3.169
2.059 -3.498 0.664
3.773 -4.106 -2.267
7.560 2.540 0.264
5.188 -2.513 1.733
2.546 -0.985 -3.076
0.173 -6.038 -1.607
3.961 0.608 0.924
5.675 0.000 -2.008
3.530 2.499 -4.513
3.702 -3.539 -6.119
0.000 0.000 0.000
4.998 -5.057 0.246
0.663 -2.915 -1.872
2.205 -1.179 2.487
3.867 -1.749 -0.672
5.528 -2.319 -3.830
7.071 -0.583 0.529
2.736 1.559 -1.589
```


Entry 5:
Compound: Pm2DySi
Source: Alexandria via LeMat-Bulk
Functional: PBE
Structure: relaxed

- polymorph energy (0 for the lowest one) (eV/atom) = 0.149
- formation energy from raw total energies (eV/atom) = -0.10
- M_tot (μB per cell) = 0.00

The structure in POSCAR format:
```
Pm2DySi
1.0
-0.044 -3.031 2.253
-0.564 -3.434 -1.466
9.633 -3.234 -0.996
Si Pm Dy
1 2 1
Cartesian
0.000 0.000 0.000
1.705 -2.364 0.018
7.319 -7.335 -0.227
4.512 -4.850 -0.104
```


Entry 6:
Compound: PmDy4Si4
Source: Alexandria via LeMat-Bulk
Functional: PBE
Structure: relaxed

- formation energy from raw total energies (eV/atom) = -0.47
- M_tot (μB per cell) = 0.00

The structure in POSCAR format:
```
PmDy4Si4
1.0
5.744 0.000 0.000
0.000 9.142 0.000
0.000 0.000 9.142
Pm Dy Si
2 8 8
Cartesian
0.000 0.000 0.000
2.872 4.571 4.571
2.170 3.107 8.218
5.042 5.495 7.679
2.170 6.035 0.924
0.701 1.464 5.495
3.573 8.218 6.035
0.701 7.679 3.647
5.042 3.647 1.464
3.573 0.924 3.107
3.566 7.167 3.227
3.566 1.975 5.915
0.695 7.798 6.547
5.049 2.596 7.798
5.049 6.547 1.344
2.177 3.227 1.975
2.177 5.915 7.167
0.695 1.344 2.596
```


Entry 7:
Compound: Pm4DySi4
Source: Alexandria via LeMat-Bulk
Functional: PBE
Structure: relaxed

- formation energy from raw total energies (eV/atom) = -0.48
- M_tot (μB per cell) = 0.00

The structure in POSCAR format:
```
Pm4DySi4
1.0
-4.211 3.836 -1.891
-4.677 -6.822 -3.423
-4.337 -0.928 7.776
Pm Dy Si
8 2 8
Cartesian
-6.958 -1.544 5.413
-9.853 -1.390 2.648
-5.129 -3.407 -2.440
-3.992 -1.342 3.594
-9.985 -4.482 1.045
-6.160 -5.372 0.248
-6.445 0.275 -1.566
-4.379 1.604 0.906
0.000 0.000 0.000
-6.613 -1.957 1.231
-7.879 -3.054 -0.964
-6.580 0.263 2.871
-7.883 -6.048 2.497
-8.581 0.687 4.244
-7.622 -1.890 -3.119
-4.248 -1.378 -0.071
-7.744 -3.660 3.087
-2.365 -0.579 1.302
```


Entry 8:
Compound: Pm6DySi4
Source: Alexandria via LeMat-Bulk
Functional: PBE
Structure: relaxed

- formation energy from raw total energies (eV/atom) = -0.44
- M_tot (μB per cell) = 0.00

The structure in POSCAR format:
```
Pm6DySi4
1.0
-1.017 -3.070 2.420
1.215 -5.912 -6.989
7.060 2.062 5.584
Pm Dy Si
6 1 4
Cartesian
1.234 -3.029 -3.324
5.913 -3.479 1.444
3.899 -2.250 -1.216
4.358 -4.483 -3.854
5.410 -1.030 4.339
2.486 -1.884 2.026
0.000 0.000 0.000
5.274 -5.094 -0.874
1.034 -3.122 -0.154
1.657 -6.151 -3.735
5.112 -0.596 1.393
```


Entry 9:
Compound: Pm2DySi2
Source: Alexandria via LeMat-Bulk
Functional: PBE
Structure: relaxed

- polymorph energy (0 for the lowest one) (eV/atom) = 0.187
- formation energy from raw total energies (eV/atom) = -0.51
- M_tot (μB per cell) = 0.00

The structure in POSCAR format:
```
Pm2DySi2
1.0
-3.689 -1.143 1.033
2.084 -2.196 5.013
-3.548 12.034 0.645
Pm Dy Si
4 2 4
Cartesian
-2.406 8.498 4.677
-2.746 0.197 2.013
-2.267 5.793 2.181
-2.885 2.902 4.509
0.028 0.496 4.515
-5.180 8.199 2.175
-1.333 5.352 5.027
-3.819 3.343 1.663
-3.646 10.700 2.685
-1.506 -2.005 4.005
```


Entry 10:
Compound: PmDy3Si2
Source: Alexandria via LeMat-Bulk
Functional: PBE
Structure: relaxed

- formation energy from raw total energies (eV/atom) = -0.50
- M_tot (μB per cell) = 0.00

The structure in POSCAR format:
```
PmDy3Si2
1.0
-3.399 -1.167 -2.394
-1.088 -5.624 8.181
-2.468 8.818 -0.794
Pm Dy Si
2 6 4
Cartesian
-6.073 2.606 3.458
-0.882 -0.580 1.535
-2.964 0.595 3.919
-5.710 -0.891 4.648
-4.583 4.799 0.274
-2.372 -2.772 4.720
-1.245 2.918 0.346
-3.991 1.432 1.075
-4.830 1.454 6.150
-2.125 0.573 -1.156
-3.766 -1.738 2.300
-3.189 3.765 2.693
```


Entry 11:
Compound: Pm2Dy2Si
Source: Alexandria via LeMat-Bulk
Functional: PBE
Structure: relaxed

- formation energy from raw total energies (eV/atom) = 0.33
- M_tot (μB per cell) = 0.00

The structure in POSCAR format:
```
Pm2Dy2Si
1.0
4.167 0.000 0.000
0.000 4.167 0.000
-2.084 -2.084 8.962
Pm Dy Si
2 2 1
Cartesian
0.000 0.000 7.490
2.084 2.084 1.472
2.084 0.000 4.481
0.000 2.084 4.481
0.000 0.000 0.000
```